First-principles (PBE-GGA) data for a relaxed Mg3TiPd crystal, as listed in the Alexandria database.

Cell: 5.1904 5.1904 5.1904 Å, 90.00 90.00 90.00°
Closest atoms and distances in Å follow each position.
Sites, in units of the cell vectors:
Mg1 0.0000 0.0000 0.5000  2 Ti 2.60
Mg2 0.0000 0.5000 0.0000  2 Ti 2.60
Mg3 0.5000 0.0000 0.0000  2 Ti 2.60
Ti1 0.0000 0.0000 0.0000  6 Mg 2.60
Pd1 0.5000 0.5000 0.5000  12 Mg 3.67

Summary:
The value obtained for the formation energy from the elements is 1.18 eV/atom. The calculation puts the energy above the most stable polymorph in this dataset at 899 meV/atom.

***

First-principles (PBE-GGA) data for a relaxed MgTi2Pd crystal, as listed in the Alexandria database.

Cell: 3.8787 3.8787 4.4354 Å, 90.00 90.00 90.00°
Closest atoms and distances in Å follow each position.
Sites, in units of the cell vectors:
Mg1 0.0000 0.0000 0.0000  4 Pd 2.74, 8 Ti 2.95
Ti1 0.0000 0.5000 0.5000  4 Ti 2.74, 4 Pd 2.95, 4 Mg 2.95
Ti2 0.5000 0.0000 0.5000  4 Ti 2.74, 4 Pd 2.95, 4 Mg 2.95
Pd1 0.5000 0.5000 0.0000  4 Mg 2.74, 8 Ti 2.95

Summary:
The value obtained for the formation energy from the elements is -0.20 eV/atom.

***

First-principles (PBE-GGA) data for a relaxed Mg2TiPd crystal, as listed in the Alexandria database.

Cell: 4.6099 4.6099 4.6099 Å, 60.00 60.00 60.00°
Closest atoms and distances in Å follow each position.
Sites, in units of the cell vectors:
Mg1 0.2500 0.2500 0.2500  4 Pd 2.82, 4 Ti 2.82
Mg2 0.7500 0.7500 0.7500  4 Pd 2.82, 4 Ti 2.82
Ti1 0.0000 0.0000 0.0000  8 Mg 2.82
Pd1 0.5000 0.5000 0.5000  8 Mg 2.82

Summary:
The value obtained for the formation energy from the elements is -0.12 eV/atom.

***

First-principles (PBE-GGA) data for a relaxed MgTiPd4 crystal, as listed in the Alexandria database.

Cell: 5.0714 5.0714 5.9649 Å, 107.79 107.79 40.45°
Closest atoms and distances in Å follow each position.
Sites, in units of the cell vectors:
Mg1 0.0000 0.0000 0.0000  8 Pd 2.72-2.73, 2 Ti 2.98
Ti1 0.0000 0.0000 0.5000  8 Pd 2.67-2.69, 2 Mg 2.98
Pd1 0.3418 0.3418 0.6638  2 Ti 2.69, 2 Mg 2.72, 6 Pd 2.78-2.90
Pd2 0.3431 0.3431 0.1786  2 Ti 2.67, 2 Mg 2.73, 6 Pd 2.84-2.90
Pd3 0.6569 0.6569 0.8214  2 Ti 2.67, 2 Mg 2.73, 6 Pd 2.84-2.90
Pd4 0.6582 0.6582 0.3362  2 Ti 2.69, 2 Mg 2.72, 6 Pd 2.78-2.90

Summary:
The value obtained for the formation energy from the elements is -0.57 eV/atom.

***

First-principles (PBE-GGA) data for a relaxed Mg3TiPd crystal, as listed in the Alexandria database.

Cell: 4.8524 4.8524 4.8524 Å, 90.00 90.00 90.00°
Closest atoms and distances in Å follow each position.
Sites, in units of the cell vectors:
Mg1 0.0000 0.0000 0.5000  2 Pd 2.43
Mg2 0.0000 0.5000 0.0000  2 Pd 2.43
Mg3 0.5000 0.0000 0.0000  2 Pd 2.43
Ti1 0.5000 0.5000 0.5000  12 Mg 3.43
Pd1 0.0000 0.0000 0.0000  6 Mg 2.43

Summary:
The value obtained for the formation energy from the elements is 0.28 eV/atom. The calculation puts the energy above the most stable polymorph in this dataset at 0 meV/atom.

***

First-principles (PBE-GGA) data for a relaxed Mg2Ti2Pd5 crystal, as listed in the Alexandria database.

Cell: 8.9604 8.9604 8.9604 Å, 59.76 133.47 144.65°
Closest atoms and distances in Å follow each position.
Sites, in units of the cell vectors:
Mg1 0.1052 0.0834 0.1885  4 Pd 2.65-2.78
Mg2 0.1052 0.4166 0.5218  4 Pd 2.65-2.78
Mg3 0.8948 0.5834 0.4782  4 Pd 2.65-2.78
Mg4 0.8948 0.9166 0.8115  4 Pd 2.65-2.78
Ti1 0.1051 0.6411 0.9640  3 Pd 2.51-2.75, 2 Ti 2.77
Ti2 0.5042 0.0042 0.5000  6 Pd 2.56-2.60
Ti3 0.5042 0.5042 0.0000  6 Pd 2.56-2.60
Ti4 0.6770 0.1411 0.0360  3 Pd 2.51-2.75, 2 Ti 2.77
Pd1 0.0007 0.3193 0.8468  3 Ti 2.56-2.75, 3 Pd 2.73-2.76, 1 Mg 2.74
Pd2 0.0007 0.6539 0.1814  3 Ti 2.56-2.75, 3 Pd 2.73-2.76, 1 Mg 2.74
Pd3 0.0080 0.8574 0.6506  1 Ti 2.51, 2 Mg 2.65, 2 Pd 2.77
Pd4 0.2068 0.3574 0.3494  1 Ti 2.51, 2 Mg 2.65, 2 Pd 2.77
Pd5 0.4725 0.1539 0.1532  3 Ti 2.56-2.75, 3 Pd 2.73-2.76, 1 Mg 2.74
Pd6 0.4725 0.8193 0.8186  3 Ti 2.56-2.75, 3 Pd 2.73-2.76, 1 Mg 2.74
Pd7 0.4945 0.2098 0.6105  1 Ti 2.57, 4 Pd 2.71-2.83, 2 Mg 2.73-2.78
Pd8 0.4945 0.3840 0.7847  1 Ti 2.57, 4 Pd 2.71-2.83, 2 Mg 2.73-2.78
Pd9 0.5993 0.7098 0.2153  1 Ti 2.57, 4 Pd 2.71-2.83, 2 Mg 2.73-2.78
Pd10 0.5993 0.8840 0.3895  1 Ti 2.57, 4 Pd 2.71-2.83, 2 Mg 2.73-2.78

Summary:
The value obtained for the formation energy from the elements is -0.47 eV/atom.